Here is a relaxed La3Zr crystal from the Alexandria database. Energies are from PBE.

Unit cell a=3.5410 b=6.1491 c=6.2088 alpha=99.57 beta=90.00 gamma=73.27
Closest atoms and distances in Å follow each position.
Element x y z (fractional)
La 0.5089 0.9823 0.4877  3 Zr 3.45-3.61, 9 La 3.48-3.68
La 0.9911 0.0177 0.0123  3 Zr 3.45-3.61, 9 La 3.48-3.68
La 0.7500 0.5000 0.7500  8 La 3.51-3.65, 4 Zr 3.57
Zr 0.2500 0.5000 0.2500  10 La 3.45-3.61, 2 Zr 3.54

- D(E_F) (states/eV/atom) = 1.526
- calculated formation energy (eV per atom) = 0.137

***

Here is a relaxed IrSe3S crystal from the Alexandria database. Energies are from PBE.

Unit cell a=4.7018 b=4.7018 c=4.7018 alpha=90.00 beta=90.00 gamma=90.00
Closest atoms and distances in Å follow each position.
Element x y z (fractional)
Se 0.0000 0.5000 0.0000  2 S 2.35
Se 0.0000 0.0000 0.5000  2 S 2.35
Se 0.5000 0.0000 0.0000  2 S 2.35
S 0.0000 0.0000 0.0000  6 Se 2.35
Ir 0.5000 0.5000 0.5000  12 Se 3.32

- D(E_F) (states/eV/atom) = 1.189
- raw formation energy (meV/atom) = 1280

***

Here is a relaxed Mo2PbCl crystal from the Alexandria database. Energies are from PBE.

Unit cell a=3.0888 b=3.0888 c=9.7830 alpha=90.00 beta=90.00 gamma=114.05
Closest atoms and distances in Å follow each position.
Element x y z (fractional)
Pb 0.0000 0.0000 0.4720  6 Pb 3.09-3.36, 2 Mo 3.12
Mo 0.0000 0.0000 0.0146  2 Mo 2.49, 2 Cl 2.61
Mo 0.5000 0.5000 0.2029  2 Mo 2.49
Cl 0.5000 0.5000 0.8105  2 Mo 2.61

- D(E_F) (states/eV/atom) = 0.792
- raw formation energy (meV/atom) = 258

***

Here is a relaxed BaScHg2 crystal from the Alexandria database. Energies are from PBE.

Unit cell a=5.5187 b=5.5187 c=3.8024 alpha=90.00 beta=90.00 gamma=89.99
Closest atoms and distances in Å follow each position.
Element x y z (fractional)
Ba 0.0000 0.5000 0.5000  8 Hg 3.35
Sc 0.5000 0.0000 0.5000  8 Hg 3.35
Hg 0.0000 0.0000 0.0000  4 Sc 3.35, 4 Ba 3.35
Hg 0.5000 0.5000 0.0000  4 Ba 3.35, 4 Sc 3.35

- D(E_F) (states/eV/atom) = 0.612
- calculated formation energy (eV per atom) = -0.249

***

Here is a relaxed Ca4Ce2Sb3O2 crystal from the Alexandria database. Energies are from PBE.

Unit cell a=4.7229 b=4.7229 c=13.1998 alpha=100.31 beta=100.31 gamma=90.00
Closest atoms and distances in Å follow each position.
Element x y z (fractional)
Ca 0.9170 0.4170 0.8339  2 O 2.42
Ca 0.5830 0.0830 0.1661  2 O 2.42
Ca 0.0830 0.5830 0.1661  2 O 2.42
Ca 0.4170 0.9170 0.8339  2 O 2.42
Sb 0.8230 0.8230 0.6461  5 Ce 3.32-3.36, 4 Ca 3.37
Sb 0.0000 0.0000 0.0000  8 Ca 3.17
Sb 0.1770 0.1770 0.3539  5 Ce 3.32-3.36, 4 Ca 3.37
Ce 0.6929 0.6929 0.3857  1 O 2.30
Ce 0.3071 0.3071 0.6143  1 O 2.30
O 0.6029 0.6029 0.2058  1 Ce 2.30, 4 Ca 2.42
O 0.3971 0.3971 0.7942  1 Ce 2.30, 4 Ca 2.42

- D(E_F) (states/eV/atom) = 1.168
- raw formation energy (meV/atom) = -1713

***

Here is a relaxed TbSm8Y5 crystal from the Alexandria database. Energies are from PBE.

Unit cell a=8.5499 b=8.5499 c=8.5499 alpha=111.14 beta=106.19 gamma=111.14
Closest atoms and distances in Å follow each position.
Element x y z (fractional)
Sm 0.3436 0.2684 0.4301  5 Y 3.19-3.57, 1 Tb 3.24
Sm 0.5699 0.9135 0.8384  5 Y 3.19-3.57, 1 Tb 3.24
Sm 0.6652 0.3961 0.9246  5 Y 3.39-3.60, 3 Sm 3.58-3.66
Sm 0.5285 0.6039 0.2691  5 Y 3.39-3.60, 3 Sm 3.58-3.66
Sm 0.7309 0.2594 0.3348  5 Y 3.39-3.60, 3 Sm 3.58-3.66
Sm 0.1616 0.7316 0.0751  5 Y 3.19-3.57, 1 Tb 3.24
Sm 0.0754 0.7406 0.4715  5 Y 3.39-3.60, 3 Sm 3.58-3.66
Sm 0.9249 0.0865 0.6564  5 Y 3.19-3.57, 1 Tb 3.24
Tb 0.2500 0.5000 0.7500  4 Sm 3.24
Y 0.2798 0.0942 0.9638  8 Sm 3.38-3.60, 2 Y 3.54
Y 0.8144 0.6840 0.7202  8 Sm 3.38-3.60, 2 Y 3.54
Y 0.8696 0.9058 0.1856  8 Sm 3.38-3.60, 2 Y 3.54
Y 0.0362 0.3160 0.1304  8 Sm 3.38-3.60, 2 Y 3.54
Y 0.5000 0.0000 0.5000  8 Sm 3.19-3.39

- D(E_F) (states/eV/atom) = 1.553
- calculated formation energy (eV per atom) = 0.258